1.
Compound: NaCd3F
Source: Alexandria
Functional: PBE
Structure: optimized geometry

Calculated values
- SG = Pm-3m, No. 221
- formation energy without anion corrections (eV/f.u.) = 0.1
- volume (A^3/atom) = 39.38
- size of the total moment (μB per formula unit) = 0.000
- uncorrected energy (eV for the cell shown) = -5.84
- polymorph energy (0 for the lowest one) (meV/atom) = 417

a = 5.818 Å, b = 5.818 Å, c = 5.818 Å
α = 90.00°, β = 90.00°, γ = 90.00°
Element x y z (fractional)
Cd 0.000 0.000 0.500
Cd 0.000 0.500 0.000
Cd 0.500 0.000 0.000
Na 0.000 0.000 0.000
F 0.500 0.500 0.500

2.
Compound: ErTl2Au
Source: Alexandria
Functional: PBE
Structure: optimized geometry

Calculated values
- SG = P4/mmm, No. 123
- volume (A^3/atom) = 24.21
- size of the total moment (μB per formula unit) = 0.000
- uncorrected energy (eV for the cell shown) = -13.74
- polymorph energy (0 for the lowest one) (meV/atom) = 0
- formation energy from the elements (eV per atom) = -0.29

a = 4.682 Å, b = 4.548 Å, c = 4.548 Å
α = 90.00°, β = 90.00°, γ = 90.00°
Element x y z (fractional)
Tl 0.000 0.500 0.000
Au 0.500 0.000 0.000
Tl 0.000 0.000 0.500
Er 0.500 0.500 0.500

3.
Compound: Pu2Al3SiAu4
Source: Alexandria
Functional: PBE
Structure: optimized geometry

Calculated values
- SG = P-4m2, No. 115
- formation energy without anion corrections (eV/f.u.) = -4.5
- volume (A^3/atom) = 19.98
- size of the total moment (μB per formula unit) = 11.286
- uncorrected energy (eV for the cell shown) = -62.92

a = 4.392 Å, b = 4.392 Å, c = 10.358 Å
α = 90.00°, β = 90.00°, γ = 90.00°
Element x y z (fractional)
Al 0.000 0.500 0.133
Si 0.500 0.500 0.500
Au 0.500 0.000 0.626
Au 0.000 0.000 0.000
Au 0.000 0.500 0.374
Pu 0.000 0.500 0.746
Al 0.000 0.000 0.500
Pu 0.500 0.000 0.254
Au 0.500 0.500 0.000
Al 0.500 0.000 0.867